Entry from the Alexandria database: Cs3Dy3SbS8 after structural relaxation (GGA-PBE).

Cell lengths 8.0647, 8.0657, 9.4501 Å; angles 115.28, 90.00, 120.00 degrees
Last column: nearest neighbours and their distance in Å.
Fractional coordinates of all 15 atoms:
Cs (0.0000, 0.0000, 0.0000)  6 S 3.51
Cs (0.0000, 0.5000, 0.0000)  6 S 3.51-3.52
Cs (0.5000, 0.5000, 0.0000)  6 S 3.51-3.52
Dy (0.5000, 0.0000, 0.5000)  6 S 2.76-2.77
Dy (0.5000, 0.5000, 0.5000)  6 S 2.76-2.77
Dy (0.0000, 0.5000, 0.5000)  6 S 2.76-2.77
Sb (0.0000, 0.0000, 0.5000)  6 S 2.68
S (0.2734, 0.5468, 0.3204)  3 Dy 2.76
S (0.7266, 0.4532, 0.6796)  3 Dy 2.76
S (0.7796, 0.5591, 0.3236)  1 Sb 2.68, 2 Dy 2.77
S (0.2204, 0.4409, 0.6764)  1 Sb 2.68, 2 Dy 2.77
S (0.7795, 0.0439, 0.3238)  1 Sb 2.68, 2 Dy 2.77
S (0.2205, 0.9561, 0.6762)  1 Sb 2.68, 2 Dy 2.77
S (0.2643, 0.0439, 0.3238)  1 Sb 2.68, 2 Dy 2.77
S (0.7357, 0.9561, 0.6762)  1 Sb 2.68, 2 Dy 2.77

The value obtained for the formation energy without anion corrections is -2188 kJ/mol of formula units.